DFT (PBE) results for a relaxed structure of UBe3Si3.

a = 6.0371 Å, b = 6.0371 Å, c = 6.0371 Å
α = 90.00°, β = 90.00°, γ = 90.00°
Last column: nearest neighbours and their distance in Å.
Positions (direct):
Be1 0.2500 0.0000 0.5000  4 Si 2.13
Be2 0.0000 0.5000 0.2500  4 Si 2.13
Be3 0.5000 0.7500 0.0000  4 Si 2.13
Be4 0.7500 0.0000 0.5000  4 Si 2.13
Be5 0.0000 0.5000 0.7500  4 Si 2.13
Be6 0.5000 0.2500 0.0000  4 Si 2.13
Si1 0.0000 0.2500 0.5000  4 Be 2.13
Si2 0.0000 0.7500 0.5000  4 Be 2.13
Si3 0.5000 0.0000 0.7500  4 Be 2.13
Si4 0.7500 0.5000 0.0000  4 Be 2.13
Si5 0.5000 0.0000 0.2500  4 Be 2.13
Si6 0.2500 0.5000 0.0000  4 Be 2.13
U1 0.5000 0.5000 0.5000  12 Si 3.37, 12 Be 3.37
U2 0.0000 0.0000 0.0000  12 Be 3.37, 12 Si 3.37

**Density of states at the Fermi level**: 17.28 states/eV/cell
**Space-group type**: No. 223
**Formation energy without anion corrections**: 0.354 eV/atom
**Calculated volume**: 15.72 A^3/atom